Run a
An optimized crystal structure of BeFeHN, computed with PBE-GGA.

Computed properties:
As for the volume: 7.90 Å³/atom.

Unit cell a=2.5371 b=2.9094 c=4.9187 alpha=103.45 beta=90.05 gamma=115.71
Space group P1 (No. 1)
Asymmetric unit:
Be  0.0000  0.0000  0.0000 [1 per cell]
Fe  0.3338  0.6698  0.4140 [1 per cell]
H  0.9028  0.8075  0.6581 [1 per cell]
N  0.7223  0.4457  0.1134 [1 per cell]

Run b
An optimized crystal structure of BeFeHN, computed with PBE-GGA.

Computed properties:
As for the volume: 7.06 Å³/atom.

Unit cell a=2.7223 b=2.7223 c=4.3991 alpha=90.00 beta=90.00 gamma=120.00
Space group P3m1 (No. 156)
Asymmetric unit:
Be  0.0000  0.0000  0.0000 [1 per cell]
Fe  0.6667  0.3333  0.4023 [1 per cell]
H  0.3333  0.6667  0.1718 [1 per cell]
N  0.0000  0.0000  0.6374 [1 per cell]

Energies relative to the most stable structure, in meV/atom: run a 0; run b 50.

Run a
An optimized crystal structure of BeFeHN, computed with PBE-GGA.

Computed properties:
As for the volume: 6.76 Å³/atom.

Unit cell a=2.6554 b=2.6558 c=4.4239 alpha=89.66 beta=89.77 gamma=60.01
Space group P1 (No. 1)
Asymmetric unit:
Be  0.0000  0.0000  0.0000 [1 per cell]
Fe  0.9987  0.9948  0.4773 [1 per cell]
H  0.3308  0.3241  0.6991 [1 per cell]
N  0.6660  0.6637  0.2103 [1 per cell]

Run b
An optimized crystal structure of BeFeHN, computed with PBE-GGA.

Computed properties:
As for the volume: 7.09 Å³/atom.

Unit cell a=4.7670 b=2.7540 c=4.3184 alpha=90.00 beta=90.22 gamma=90.00
Space group Cm (No. 8)
Asymmetric unit:
Be  0.0000  0.0000  0.0000 [2 per cell]
Fe  0.3316  0.0000  0.5827 [2 per cell]
H  0.4981  0.5000  0.3638 [2 per cell]
N  0.1659  0.5000  0.8382 [2 per cell]

Energies relative to the most stable structure, in meV/atom: run a 22; run b 0.

Run a
An optimized crystal structure of BeFeHN, computed with PBE-GGA.

Computed properties:
As for the volume: 7.23 Å³/atom.

Unit cell a=3.8854 b=2.9369 c=5.0690 alpha=90.00 beta=90.00 gamma=90.00
Space group Amm2 (No. 38)
Asymmetric unit:
Be  0.0000  0.0000  0.0000 [2 per cell]
Fe  0.5000  0.0000  0.3340 [2 per cell]
H  0.5000  0.0000  0.0001 [2 per cell]
N  0.0000  0.0000  0.3338 [2 per cell]

Run b
An optimized crystal structure of BeFeHN, computed with PBE-GGA.

Computed properties:
As for the volume: 7.17 Å³/atom.

Unit cell a=2.9254 b=2.9254 c=3.8670 alpha=90.00 beta=90.00 gamma=120.00
Space group P-6m2 (No. 187)
Asymmetric unit:
Be  0.0000  0.0000  0.0000 [1 per cell]
Fe  0.6667  0.3333  0.5000 [1 per cell]
H  0.3333  0.6667  0.5000 [1 per cell]
N  0.6667  0.3333  0.0000 [1 per cell]

Run c
An optimized crystal structure of BeFeHN, computed with PBE-GGA.

Computed properties:
As for the volume: 7.32 Å³/atom.

Unit cell a=2.7552 b=2.7552 c=13.3565 alpha=90.00 beta=90.00 gamma=120.00
Space group R3m (No. 160, hexagonal axes)
Asymmetric unit:
Be  0.0000  0.0000  0.0000 [3 per cell]
Fe  0.0000  0.0000  0.4700 [3 per cell]
H  0.0000  0.0000  0.3504 [3 per cell]
N  0.0000  0.0000  0.8800 [3 per cell]

Energies relative to the most stable structure, in meV/atom: run a 38; run b 0; run c 244.

Run a
An optimized crystal structure of BeNb2FeH, computed with PBE-GGA.

Computed properties:
As for the volume: 11.74 Å³/atom.

Unit cell a=4.1285 b=4.1285 c=3.4439 alpha=90.00 beta=90.00 gamma=90.00
Space group P4/mmm (No. 123)
Asymmetric unit:
Be  0.0000  0.0000  0.0000 [1 per cell]
Nb  0.0000  0.5000  0.5000 [2 per cell]
Fe  0.5000  0.5000  0.0000 [1 per cell]
H  0.0000  0.0000  0.5000 [1 per cell]

Run b
An optimized crystal structure of BeNb2FeH, computed with PBE-GGA.

Computed properties:
As for the volume: 11.95 Å³/atom.

Unit cell a=4.0853 b=4.0853 c=3.5810 alpha=90.00 beta=90.00 gamma=90.00
Space group P4/mmm (No. 123)
Asymmetric unit:
Be  0.0000  0.0000  0.0000 [1 per cell]
Nb  0.0000  0.5000  0.5000 [2 per cell]
Fe  0.5000  0.5000  0.0000 [1 per cell]
H  0.5000  0.5000  0.5000 [1 per cell]

Energies relative to the most stable structure, in meV/atom: run a 40; run b 0.

Run a
An optimized crystal structure of BeNbFe2H, computed with PBE-GGA.

Computed properties:
As for the volume: 9.73 Å³/atom.

Unit cell a=3.8665 b=3.8665 c=3.2543 alpha=90.00 beta=90.00 gamma=90.00
Space group P4/mmm (No. 123)
Asymmetric unit:
Be  0.0000  0.0000  0.0000 [1 per cell]
Nb  0.5000  0.5000  0.0000 [1 per cell]
Fe  0.0000  0.5000  0.5000 [2 per cell]
H  0.0000  0.0000  0.5000 [1 per cell]

Run b
An optimized crystal structure of BeNbFe2H, computed with PBE-GGA.

Computed properties:
As for the volume: 10.36 Å³/atom.

Unit cell a=3.6307 b=3.6307 c=3.9284 alpha=90.00 beta=90.00 gamma=90.00
Space group P4/mmm (No. 123)
Asymmetric unit:
Be  0.0000  0.0000  0.0000 [1 per cell]
Nb  0.5000  0.5000  0.0000 [1 per cell]
Fe  0.0000  0.5000  0.5000 [2 per cell]
H  0.5000  0.5000  0.5000 [1 per cell]

Energies relative to the most stable structure, in meV/atom: run a 0; run b 62.

Run a
An optimized crystal structure of BeFe2NiH, computed with PBE-GGA.

Computed properties:
As for the volume: 8.97 Å³/atom.

Unit cell a=3.5266 b=3.5266 c=3.6052 alpha=90.00 beta=90.00 gamma=90.00
Space group P4/mmm (No. 123)
Asymmetric unit:
Be  0.0000  0.0000  0.0000 [1 per cell]
Fe  0.0000  0.5000  0.5000 [2 per cell]
Ni  0.5000  0.5000  0.0000 [1 per cell]
H  0.5000  0.5000  0.5000 [1 per cell]

Run b
An optimized crystal structure of BeFe2NiH, computed with PBE-GGA.

Computed properties:
As for the volume: 8.89 Å³/atom.

Unit cell a=3.4906 b=3.4906 c=3.6489 alpha=90.00 beta=90.00 gamma=90.00
Space group P4/mmm (No. 123)
Asymmetric unit:
Be  0.0000  0.0000  0.0000 [1 per cell]
Fe  0.0000  0.5000  0.5000 [2 per cell]
Ni  0.5000  0.5000  0.0000 [1 per cell]
H  0.0000  0.0000  0.5000 [1 per cell]

Energies relative to the most stable structure, in meV/atom: run a 0; run b 53.

Run a
An optimized crystal structure of BeFeHRh2, computed with PBE-GGA.

Computed properties:
As for the volume: 10.44 Å³/atom.

Unit cell a=4.0370 b=4.0370 c=3.2018 alpha=90.00 beta=90.00 gamma=90.00
Space group P4/mmm (No. 123)
Asymmetric unit:
Be  0.0000  0.0000  0.0000 [1 per cell]
Fe  0.5000  0.5000  0.0000 [1 per cell]
H  0.0000  0.0000  0.5000 [1 per cell]
Rh  0.0000  0.5000  0.5000 [2 per cell]

Run b
An optimized crystal structure of BeFeHRh2, computed with PBE-GGA.

Computed properties:
As for the volume: 10.60 Å³/atom.

Unit cell a=3.9114 b=3.9114 c=3.4644 alpha=90.00 beta=90.00 gamma=90.00
Space group P4/mmm (No. 123)
Asymmetric unit:
Be  0.0000  0.0000  0.0000 [1 per cell]
Fe  0.5000  0.5000  0.0000 [1 per cell]
H  0.5000  0.5000  0.5000 [1 per cell]
Rh  0.0000  0.5000  0.5000 [2 per cell]

Energies relative to the most stable structure, in meV/atom: run a 0; run b 28.